Compound: CoN2ClF
Source: Alexandria via LeMat-Bulk
Functional: PBE with a Hubbard U
Structure: optimized geometry

The total magnetic moment is 2.7 μB per formula unit. The calculation puts the total energy at -3.222 eV/atom.

Unit cell a=3.853 b=3.853 c=4.092 alpha=90.00 beta=90.00 gamma=90.00
Fractional positions:
Co  0.000  0.000  0.000
N  0.000  0.500  0.500
N  0.500  0.000  0.500
Cl  0.500  0.500  0.500
F  0.500  0.500  0.000